CsPb3F9 PBE optimized geometry; theoretical density = 5.1 g cm⁻³; formation energy from raw total energies = -2.2642 eV per atom; size of the total moment = 0.00 μB/f.u.
1.0
-7.6383 4.1101 -1.1730
0.4736 -8.6944 -0.8919
-0.9540 -0.5070 4.4359
Cs F Pb
1 9 3
Direct
0.0000 0.0000 0.0000 Cs
0.1984 0.3968 0.5000 F
0.0000 0.5000 0.0000 F
0.3968 0.1984 0.5000 F
0.1984 0.8016 0.5000 F
0.8016 0.6032 0.5000 F
0.8016 0.1984 0.5000 F
0.5000 0.0000 0.0000 F
0.6032 0.8016 0.5000 F
0.5000 0.5000 0.0000 F
0.5000 0.5000 0.5000 Pb
0.5000 0.0000 0.5000 Pb
0.0000 0.5000 0.5000 Pb

***

Cs5Pb3F12 PBE optimized geometry; theoretical density = 5.0 g cm⁻³; formation energy from raw total energies = -2.2966 eV per atom; size of the total moment = 0.83 μB/f.u.
1.0
-9.4954 2.4409 9.6459
7.9803 -10.4748 3.9695
7.7297 11.2373 -1.7714
Pb F Cs
12 48 20
Direct
0.3750 0.7500 0.6250 Pb
0.7500 0.3750 0.1250 Pb
0.6250 0.2500 0.3750 Pb
0.8750 0.1250 0.2500 Pb
0.7500 0.8750 0.6250 Pb
0.6250 0.3750 0.7500 Pb
0.3750 0.6250 0.2500 Pb
0.8750 0.7500 0.1250 Pb
0.2500 0.6250 0.8750 Pb
0.1250 0.8750 0.7500 Pb
0.1250 0.2500 0.8750 Pb
0.2500 0.1250 0.3750 Pb
0.8692 0.6252 0.9526 F
0.7560 0.1308 0.0834 F
0.1726 0.0474 0.9166 F
0.5834 0.3274 0.9526 F
0.9166 0.5474 0.1726 F
0.1252 0.9526 0.3692 F
0.6308 0.5474 0.8748 F
0.1308 0.3748 0.0474 F
0.8692 0.2440 0.4166 F
0.0474 0.1726 0.4166 F
0.5834 0.2560 0.1308 F
0.8274 0.9526 0.0834 F
0.2440 0.3748 0.8274 F
0.5474 0.9166 0.6726 F
0.2560 0.6726 0.1252 F
0.4166 0.7440 0.8692 F
0.6252 0.8692 0.4526 F
0.7560 0.6252 0.1726 F
0.7440 0.3274 0.8748 F
0.4526 0.0834 0.3274 F
0.4526 0.3692 0.6252 F
0.9166 0.3692 0.2440 F
0.6726 0.2560 0.6252 F
0.6726 0.4166 0.5474 F
0.3274 0.5834 0.4526 F
0.1726 0.1252 0.7560 F
0.3748 0.2440 0.3274 F
0.1308 0.7560 0.5834 F
0.1252 0.1726 0.2560 F
0.8748 0.0474 0.6308 F
0.4166 0.6726 0.0474 F
0.6252 0.7560 0.6726 F
0.9526 0.1252 0.8692 F
0.5474 0.6308 0.3748 F
0.2560 0.5834 0.6308 F
0.6308 0.0834 0.2560 F
0.8748 0.8274 0.7440 F
0.8274 0.8748 0.2440 F
0.3274 0.7440 0.3748 F
0.3692 0.9166 0.7440 F
0.3748 0.1308 0.5474 F
0.0834 0.6308 0.7560 F
0.0834 0.4526 0.8274 F
0.3692 0.4526 0.1252 F
0.9526 0.8274 0.5834 F
0.0474 0.8748 0.1308 F
0.7440 0.4166 0.3692 F
0.2440 0.8692 0.9166 F
0.2500 0.3750 0.6250 Cs
0.0000 0.0000 0.5000 Cs
0.8750 0.2500 0.6250 Cs
0.0000 0.5000 0.0000 Cs
0.0000 0.5000 0.5000 Cs
0.8750 0.6250 0.7500 Cs
0.5000 0.5000 0.0000 Cs
0.2500 0.8750 0.1250 Cs
0.3750 0.2500 0.1250 Cs
0.3750 0.1250 0.7500 Cs
0.7500 0.6250 0.3750 Cs
0.5000 0.5000 0.5000 Cs
0.5000 0.0000 0.5000 Cs
0.5000 0.0000 0.0000 Cs
0.7500 0.1250 0.8750 Cs
0.1250 0.7500 0.3750 Cs
0.0000 0.0000 0.0000 Cs
0.1250 0.3750 0.2500 Cs
0.6250 0.8750 0.2500 Cs
0.6250 0.7500 0.8750 Cs

***

Cs2Pb2F7 PBE optimized geometry; theoretical density = 5.6 g cm⁻³; formation energy from raw total energies = -2.3929 eV per atom; size of the total moment = 0.00 μB/f.u.
1.0
6.0045 -0.0026 -0.1341
0.0028 6.7470 0.0031
-0.5079 -0.0024 5.9845
F Cs Pb
7 2 2
Direct
0.5000 0.1981 0.5000 F
0.5000 0.8019 0.5000 F
0.5001 0.7903 0.0000 F
0.0000 0.2097 0.5001 F
0.4999 0.2097 0.0000 F
0.0000 0.7903 0.4999 F
0.0000 0.0000 0.0000 F
0.2377 0.5000 0.2377 Cs
0.7623 0.5000 0.7623 Cs
0.7261 0.0000 0.2739 Pb
0.2739 0.0000 0.7261 Pb

***

CsPb2F4 PBE optimized geometry; theoretical density = 6.0 g cm⁻³; formation energy from raw total energies = -2.2027 eV per atom; size of the total moment = 0.00 μB/f.u.
1.0
-5.5154 5.1478 1.3886
-5.4386 -5.7584 -2.7965
5.6038 -1.2564 5.9126
Pb Cs F
4 2 8
Direct
0.6443 0.3132 0.2319 Pb
0.6355 0.3417 0.7325 Pb
0.6496 0.8529 0.2563 Pb
0.1540 0.4148 0.8076 Pb
0.2811 0.7204 0.5027 Cs
0.0066 0.0255 0.0197 Cs
0.4620 0.0894 0.2964 F
0.6468 0.0320 0.6497 F
0.3043 0.3607 0.1004 F
0.7364 0.5582 0.6197 F
0.0308 0.4034 0.4670 F
0.7887 0.5460 0.1876 F
0.2826 0.1751 0.6199 F
0.6272 0.9167 0.0087 F

***

Cs2PbF8 PBE optimized geometry; theoretical density = 3.2 g cm⁻³; formation energy from raw total energies = -1.9756 eV per atom; size of the total moment = 0.17 μB/f.u.
1.0
7.0373 0.5155 2.1368
2.5227 6.9234 2.2171
1.3413 1.2917 7.4663
Pb F Cs
1 8 2
Direct
0.0000 0.0000 0.0000 Pb
0.3221 0.9525 0.9525 F
0.6779 0.0475 0.0475 F
0.0631 0.0513 0.6836 F
0.9369 0.9487 0.3164 F
0.0631 0.6836 0.0513 F
0.1061 0.4884 0.4884 F
0.9369 0.3164 0.9487 F
0.8939 0.5116 0.5116 F
0.2204 0.2132 0.2132 Cs
0.7796 0.7868 0.7868 Cs

***

CsPbF6 PBE optimized geometry; theoretical density = 4.5 g cm⁻³; excess energy over the best structure of this formula in the dataset = 25 meV per atom; formation energy from raw total energies = -1.8727 eV per atom; size of the total moment = 1.07 μB/f.u.
1.0
-2.8228 -4.9260 0.8936
2.6234 -4.3761 2.6457
-1.9155 -1.1117 6.3031
Cs F Pb
1 6 1
Direct
0.5000 0.5000 0.5000 Cs
0.9062 0.4084 0.7793 F
0.4084 0.9062 0.7793 F
0.9062 0.9062 0.7793 F
0.5916 0.0938 0.2207 F
0.0938 0.5916 0.2207 F
0.0938 0.0938 0.2207 F
0.0000 0.0000 0.0000 Pb

***

CsPb4F8 PBE optimized geometry; theoretical density = 7.3 g cm⁻³; excess energy over the best structure of this formula in the dataset = 193 meV per atom; formation energy from raw total energies = -1.9778 eV per atom; size of the total moment = 0.00 μB/f.u.
1.0
-3.7283 -2.4017 4.5267
-4.5178 -1.1013 -4.3053
2.4183 -5.7600 -1.0642
Pb F Cs
4 8 1
Direct
0.5000 0.0000 0.5000 Pb
0.0000 0.5000 0.5000 Pb
0.0000 0.0000 0.0000 Pb
0.5000 0.5000 0.0000 Pb
0.7593 0.2407 0.7593 F
0.2407 0.2407 0.7593 F
0.7593 0.7593 0.2407 F
0.7593 0.7593 0.7593 F
0.2407 0.7593 0.2407 F
0.7593 0.2407 0.2407 F
0.2407 0.2407 0.2407 F
0.2407 0.7593 0.7593 F
0.5000 0.5000 0.5000 Cs

***

CsPbF3 PBE optimized geometry; theoretical density = 4.6 g cm⁻³; formation energy from raw total energies = -1.4111 eV per atom; size of the total moment = 0.00 μB/f.u.
1.0
-0.5873 4.8094 -1.9694
-0.1823 -1.9998 -4.8292
-5.1938 -0.4736 0.3922
F Pb Cs
3 1 1
Direct
0.0000 0.0000 0.5000 F
0.5000 0.0000 0.0000 F
0.0000 0.5000 0.0000 F
0.5000 0.5000 0.5000 Pb
0.0000 0.0000 0.0000 Cs

***

CsPbF2 PBE optimized geometry; theoretical density = 6.8 g cm⁻³; excess energy over the best structure of this formula in the dataset = 476 meV per atom; formation energy from raw total energies = -1.5599 eV per atom; size of the total moment = 0.00 μB/f.u.
1.0
0.0000 3.5818 3.5818
3.5818 0.0000 3.5818
3.5818 3.5818 0.0000
F Pb Cs
2 1 1
Direct
0.7500 0.7500 0.7500 F
0.2500 0.2500 0.2500 F
0.5000 0.5000 0.5000 Pb
0.0000 0.0000 0.0000 Cs

***

CsPbF3 PBE optimized geometry; theoretical density = 5.7 g cm⁻³; formation energy from raw total energies = -2.5414 eV per atom; size of the total moment = 0.00 μB/f.u.
1.0
6.8492 0.0245 0.0233
3.3182 5.9923 -0.0195
-3.3514 -1.9423 5.6490
Cs F Pb
2 6 2
Direct
0.2356 0.2056 0.7969 Cs
0.7357 0.7054 0.2969 Cs
0.2913 0.1508 0.3215 F
0.7116 0.2609 0.8512 F
0.1812 0.6805 0.7411 F
0.7910 0.1809 0.3509 F
0.2109 0.6508 0.2412 F
0.6809 0.7612 0.8211 F
0.9819 0.9515 0.0506 Pb
0.4818 0.4515 0.5506 Pb

***

Cs3PbF7 PBE optimized geometry; theoretical density = 4.7 g cm⁻³; formation energy from raw total energies = -2.4736 eV per atom; size of the total moment = 0.00 μB/f.u.
1.0
5.9995 0.0818 3.1160
-1.2996 5.8576 3.1160
-0.0080 -0.0101 7.3714
F Cs Pb
7 3 1
Direct
0.1244 0.1244 0.1321 F
0.7027 0.7027 0.4065 F
0.1143 0.6728 0.1723 F
0.6728 0.1143 0.1723 F
0.2762 0.9919 0.7405 F
0.7959 0.7959 0.9346 F
0.9919 0.2762 0.7405 F
0.7551 0.2331 0.4889 Cs
0.2331 0.7551 0.4889 Cs
0.5016 0.5016 0.9362 Cs
0.9570 0.9570 0.0374 Pb

***

CsPb2F5 PBE optimized geometry; theoretical density = 6.3 g cm⁻³; formation energy from raw total energies = -2.4594 eV per atom; size of the total moment = 0.00 μB/f.u.
1.0
-0.3218 -2.7465 -3.9283
-2.3419 -3.3451 2.5306
-5.0103 6.2070 -0.9918
F Pb Cs
5 2 1
Direct
0.8621 0.3621 0.7242 F
0.0000 0.0000 0.0000 F
0.1379 0.6379 0.2758 F
0.3621 0.8621 0.7242 F
0.6379 0.1379 0.2758 F
0.8389 0.8389 0.6778 Pb
0.1611 0.1611 0.3222 Pb
0.5000 0.5000 0.0000 Cs